(1)
{
  "formula": "Ga12Te5I3",
  "functional": "GGA-PBE",
  "state": "relaxed",
  "volume_a3_per_cell": 2943,
  "total_magnetization_mub_per_atom": 0.000,
  "dft_energy_ev_per_cell": -226.53,
  "e_form_raw_ev_per_atom": 0.002,
  "lattice_angstrom": [[-9.028, 9.028, 9.028], [9.028, -9.028, 9.028], [9.028, 9.028, -9.028]],
  "species": ["Ga", "Ga", "Ga", "Ga", "Ga", "Ga", "Ga", "Ga", "Ga", "Ga", "Ga", "Ga", "Ga", "Ga", "Ga", "Ga", "Ga", "Ga", "Ga", "Ga", "Ga", "Ga", "Ga", "Ga", "Ga", "Ga", "Ga", "Ga", "Ga", "Ga", "Ga", "Ga", "Ga", "Ga", "Ga", "Ga", "Ga", "Ga", "Ga", "Ga", "Ga", "Ga", "Ga", "Ga", "Ga", "Ga", "Ga", "Ga", "Te", "Te", "Te", "Te", "Te", "Te", "Te", "Te", "Te", "Te", "Te", "Te", "Te", "Te", "Te", "Te", "Te", "Te", "Te", "Te", "I", "I", "I", "I", "I", "I", "I", "I", "I", "I", "I", "I"],
  "frac_coords": [[0.058, 0.225, 0.148], [0.058, 0.333, 0.910], [0.077, 0.725, 0.667], [0.077, 0.852, 0.410], [0.090, 0.648, 0.423], [0.090, 0.942, 0.667], [0.148, 0.058, 0.225], [0.148, 0.590, 0.923], [0.167, 0.225, 0.577], [0.167, 0.442, 0.590], [0.225, 0.148, 0.058], [0.225, 0.577, 0.167], [0.275, 0.333, 0.923], [0.275, 0.442, 0.352], [0.333, 0.910, 0.058], [0.333, 0.923, 0.275], [0.352, 0.275, 0.442], [0.352, 0.577, 0.910], [0.410, 0.077, 0.852], [0.410, 0.833, 0.558], [0.423, 0.090, 0.648], [0.423, 0.833, 0.775], [0.442, 0.352, 0.275], [0.442, 0.590, 0.167], [0.558, 0.410, 0.833], [0.558, 0.648, 0.725], [0.577, 0.167, 0.225], [0.577, 0.910, 0.352], [0.590, 0.167, 0.442], [0.590, 0.923, 0.148], [0.648, 0.423, 0.090], [0.648, 0.725, 0.558], [0.667, 0.077, 0.725], [0.667, 0.090, 0.942], [0.725, 0.558, 0.648], [0.725, 0.667, 0.077], [0.775, 0.423, 0.833], [0.775, 0.852, 0.942], [0.833, 0.558, 0.410], [0.833, 0.775, 0.423], [0.852, 0.410, 0.077], [0.852, 0.942, 0.775], [0.910, 0.058, 0.333], [0.910, 0.352, 0.577], [0.923, 0.148, 0.590], [0.923, 0.275, 0.333], [0.942, 0.667, 0.090], [0.942, 0.775, 0.852], [0.000, 0.000, 0.000], [0.000, 0.000, 0.500], [0.000, 0.500, 0.000], [0.000, 0.500, 0.500], [0.125, 0.750, 0.875], [0.125, 0.875, 0.250], [0.250, 0.125, 0.875], [0.250, 0.625, 0.375], [0.375, 0.250, 0.625], [0.375, 0.625, 0.750], [0.500, 0.000, 0.000], [0.500, 0.000, 0.500], [0.500, 0.500, 0.000], [0.500, 0.500, 0.500], [0.625, 0.375, 0.250], [0.625, 0.750, 0.375], [0.750, 0.375, 0.625], [0.750, 0.875, 0.125], [0.875, 0.125, 0.750], [0.875, 0.250, 0.125], [0.125, 0.250, 0.375], [0.125, 0.375, 0.750], [0.250, 0.375, 0.125], [0.250, 0.875, 0.625], [0.375, 0.125, 0.250], [0.375, 0.750, 0.125], [0.625, 0.250, 0.875], [0.625, 0.875, 0.750], [0.750, 0.125, 0.375], [0.750, 0.625, 0.875], [0.875, 0.625, 0.250], [0.875, 0.750, 0.625]]
}

=====

(2)
{
  "formula": "TiMn3Ga2",
  "functional": "GGA-PBE",
  "state": "relaxed",
  "volume_a3_per_cell": 160,
  "total_magnetization_mub_per_atom": 0.782,
  "dft_energy_ev_per_cell": -83.68,
  "formation_enthalpy_0k_ev_per_atom": -0.064,
  "lattice_angstrom": [[3.335, -3.634, 0.000], [3.335, 3.634, 0.000], [-1.354, 0.000, 6.585]],
  "species": ["Ti", "Ti", "Mn", "Mn", "Mn", "Mn", "Mn", "Mn", "Ga", "Ga", "Ga", "Ga"],
  "frac_coords": [[0.085, 0.915, 0.750], [0.915, 0.085, 0.250], [0.175, 0.350, 0.995], [0.350, 0.175, 0.495], [0.425, 0.575, 0.750], [0.575, 0.425, 0.250], [0.650, 0.825, 0.505], [0.825, 0.650, 0.005], [0.126, 0.624, 0.376], [0.376, 0.874, 0.124], [0.624, 0.126, 0.876], [0.874, 0.376, 0.624]]
}